No. 1
{
  "formula": "NaSCl2",
  "functional": "PBE",
  "state": "relaxed",
  "polymorph_energy_ev_per_fu": 1.56,
  "space_group": "Fm-3m, No. 225",
  "cell": [[3.717, -2.975, 1.724], [3.568, 1.912, 3.041], [0.130, -1.314, 4.888]],
  "species": ["Cl", "Cl", "Na", "S"],
  "fractional_positions": [[0.750, 0.750, 0.750], [0.250, 0.250, 0.250], [0.000, 0.000, 0.000], [0.500, 0.500, 0.500]]
}

No. 2
{
  "formula": "NaS8Cl2",
  "functional": "PBE",
  "state": "relaxed",
  "space_group": "C2/m, No. 12",
  "total_energy_ry_per_atom": -0.258,
  "cell": [[5.805, -0.578, 0.905], [-0.175, 7.616, 4.196], [-1.232, 3.043, 8.054]],
  "species": ["Na", "S", "S", "S", "S", "S", "S", "S", "S", "Cl", "Cl"],
  "fractional_positions": [[0.000, 0.000, 0.000], [0.475, 0.394, 0.394], [0.249, 0.593, 0.106], [0.249, 0.106, 0.593], [0.999, 0.323, 0.323], [0.001, 0.677, 0.677], [0.751, 0.407, 0.894], [0.751, 0.894, 0.407], [0.525, 0.606, 0.606], [0.360, 0.106, 0.106], [0.640, 0.894, 0.894]]
}

No. 3
{
  "formula": "NaSCl2",
  "functional": "PBE",
  "state": "relaxed",
  "polymorph_energy_ev_per_fu": 0.00,
  "space_group": "R-3m, No. 166",
  "cell": [[1.684, 6.594, 4.125], [4.914, 4.130, 4.704], [4.620, 6.354, 1.268]],
  "species": ["Na", "S", "Cl", "Cl"],
  "fractional_positions": [[0.500, 0.500, 0.500], [0.000, 0.000, 0.000], [0.899, 0.899, 0.899], [0.101, 0.101, 0.101]]
}

No. 4
{
  "formula": "Na6SCl4",
  "functional": "PBE",
  "state": "relaxed",
  "space_group": "R-3c, No. 167",
  "total_energy_ry_per_atom": -0.239,
  "cell": [[-3.303, 7.787, 0.146], [-6.765, -3.042, 4.067], [3.689, 1.521, 7.459]],
  "species": ["Na", "Na", "Na", "Na", "Na", "Na", "Na", "Na", "Na", "Na", "Na", "Na", "Cl", "Cl", "Cl", "Cl", "Cl", "Cl", "Cl", "Cl", "S", "S"],
  "fractional_positions": [[0.980, 0.056, 0.693], [0.307, 0.980, 0.944], [0.020, 0.944, 0.307], [0.056, 0.307, 0.020], [0.807, 0.556, 0.520], [0.693, 0.020, 0.056], [0.193, 0.444, 0.480], [0.944, 0.693, 0.980], [0.480, 0.807, 0.444], [0.444, 0.520, 0.807], [0.520, 0.193, 0.556], [0.556, 0.480, 0.193], [0.569, 0.931, 0.750], [0.750, 0.431, 0.931], [0.931, 0.250, 0.431], [0.250, 0.250, 0.750], [0.250, 0.569, 0.069], [0.431, 0.069, 0.250], [0.069, 0.750, 0.569], [0.750, 0.750, 0.250], [0.500, 0.500, 0.500], [0.000, 0.000, 0.000]]
}

No. 5
{
  "formula": "Na2SCl6",
  "functional": "PBE",
  "state": "relaxed",
  "space_group": "P2_1/c, No. 14",
  "total_energy_ry_per_atom": -0.207,
  "cell": [[-0.787, 6.570, 0.471], [-6.900, -0.764, -0.878], [-1.092, -1.007, 9.452]],
  "species": ["Na", "Na", "Na", "Na", "Cl", "Cl", "Cl", "Cl", "Cl", "Cl", "Cl", "Cl", "Cl", "Cl", "Cl", "Cl", "S", "S"],
  "fractional_positions": [[0.971, 0.410, 0.761], [0.029, 0.590, 0.239], [0.529, 0.910, 0.739], [0.471, 0.090, 0.261], [0.887, 0.974, 0.267], [0.172, 0.282, 0.446], [0.672, 0.218, 0.946], [0.613, 0.474, 0.233], [0.328, 0.782, 0.054], [0.387, 0.526, 0.767], [0.215, 0.319, 0.055], [0.715, 0.181, 0.555], [0.113, 0.026, 0.733], [0.785, 0.681, 0.945], [0.285, 0.819, 0.445], [0.828, 0.718, 0.554], [0.000, 0.000, 0.500], [0.500, 0.500, 0.000]]
}

No. 6
{
  "formula": "NaS3Cl2",
  "functional": "PBE",
  "state": "relaxed",
  "space_group": "P-1, No. 2",
  "total_energy_ry_per_atom": -0.250,
  "cell": [[3.950, 1.485, 0.501], [5.437, 11.661, 2.132], [-2.200, -0.779, 8.904]],
  "species": ["S", "S", "S", "S", "S", "S", "Cl", "Cl", "Cl", "Cl", "Na", "Na"],
  "fractional_positions": [[0.634, 0.364, 0.388], [0.322, 0.994, 0.434], [0.366, 0.636, 0.612], [0.913, 0.694, 0.453], [0.087, 0.306, 0.547], [0.678, 0.006, 0.566], [0.077, 0.876, 0.152], [0.731, 0.406, 0.174], [0.269, 0.594, 0.826], [0.923, 0.124, 0.848], [0.604, 0.841, 0.987], [0.396, 0.159, 0.013]]
}

No. 7
{
  "formula": "NaSCl2",
  "functional": "PBE",
  "state": "relaxed",
  "polymorph_energy_ev_per_fu": 2.24,
  "space_group": "R-3m, No. 166",
  "cell": [[-1.263, -8.376, 0.663], [3.246, -7.803, 0.884], [0.682, -7.124, 4.581]],
  "species": ["Cl", "Cl", "S", "Na"],
  "fractional_positions": [[0.897, 0.897, 0.897], [0.103, 0.103, 0.103], [0.500, 0.500, 0.500], [0.000, 0.000, 0.000]]
}

No. 8
{
  "formula": "Na3SCl6",
  "functional": "PBE",
  "state": "relaxed",
  "space_group": "P2_1/c, No. 14",
  "total_energy_ry_per_atom": -0.216,
  "cell": [[6.744, 0.000, -0.453], [0.000, 7.048, 0.000], [-0.606, 0.000, 10.688]],
  "species": ["Na", "Na", "Na", "Na", "Na", "Na", "Cl", "Cl", "Cl", "Cl", "Cl", "Cl", "Cl", "Cl", "Cl", "Cl", "Cl", "Cl", "S", "S"],
  "fractional_positions": [[0.500, 0.500, 0.000], [0.987, 0.410, 0.762], [0.000, 0.000, 0.500], [0.013, 0.590, 0.238], [0.513, 0.910, 0.738], [0.487, 0.090, 0.262], [0.778, 0.673, 0.585], [0.141, 0.055, 0.743], [0.278, 0.827, 0.085], [0.161, 0.280, 0.065], [0.359, 0.555, 0.757], [0.722, 0.173, 0.915], [0.661, 0.220, 0.565], [0.222, 0.327, 0.415], [0.839, 0.720, 0.935], [0.339, 0.780, 0.435], [0.859, 0.945, 0.257], [0.641, 0.445, 0.243], [0.000, 0.000, 0.000], [0.500, 0.500, 0.500]]
}

No. 9
{
  "formula": "Na4S12Cl",
  "functional": "PBE",
  "state": "relaxed",
  "space_group": "Im-3, No. 204",
  "total_energy_ry_per_atom": -0.270,
  "cell": [[7.774, 0.000, -2.749], [-3.887, 6.733, -2.749], [0.000, 0.000, 8.246]],
  "species": ["S", "S", "S", "S", "S", "S", "S", "S", "S", "S", "S", "S", "Na", "Na", "Na", "Na", "Cl"],
  "fractional_positions": [[0.137, 0.398, 0.536], [0.863, 0.398, 0.261], [0.536, 0.137, 0.398], [0.398, 0.261, 0.863], [0.602, 0.739, 0.137], [0.398, 0.536, 0.137], [0.863, 0.602, 0.464], [0.137, 0.602, 0.739], [0.602, 0.464, 0.863], [0.261, 0.863, 0.398], [0.464, 0.863, 0.602], [0.739, 0.137, 0.602], [0.000, 0.500, 0.000], [0.000, 0.000, 0.500], [0.500, 0.500, 0.500], [0.500, 0.000, 0.000], [0.000, 0.000, 0.000]]
}

No. 10
{
  "formula": "NaSCl2",
  "functional": "PBE",
  "state": "relaxed",
  "polymorph_energy_ev_per_fu": 0.97,
  "space_group": "I-42d, No. 122",
  "cell": [[5.161, 0.000, 0.000], [0.000, 5.161, 0.000], [2.580, 2.580, 8.076]],
  "species": ["Cl", "Cl", "Cl", "Cl", "S", "S", "Na", "Na"],
  "fractional_positions": [[0.680, 0.125, 0.250], [0.375, 0.320, 0.750], [0.070, 0.625, 0.250], [0.875, 0.930, 0.750], [0.750, 0.250, 0.500], [0.000, 0.000, 0.000], [0.250, 0.750, 0.500], [0.500, 0.500, 0.000]]
}

No. 11
{
  "formula": "NaS2Cl2",
  "functional": "PBE",
  "state": "relaxed",
  "space_group": "P4/mbm, No. 127",
  "total_energy_ry_per_atom": -0.223,
  "cell": [[7.958, 0.000, 0.000], [0.000, 7.958, 0.000], [0.000, 0.000, 4.271]],
  "species": ["S", "S", "S", "S", "Cl", "Cl", "Cl", "Cl", "Na", "Na"],
  "fractional_positions": [[0.083, 0.417, 0.000], [0.917, 0.583, 0.000], [0.583, 0.083, 0.000], [0.417, 0.917, 0.000], [0.249, 0.251, 0.500], [0.251, 0.751, 0.500], [0.749, 0.249, 0.500], [0.751, 0.749, 0.500], [0.000, 0.000, 0.000], [0.500, 0.500, 0.000]]
}

No. 12
{
  "formula": "NaS2Cl2",
  "functional": "PBE",
  "state": "relaxed",
  "space_group": "I4/mmm, No. 139",
  "total_energy_ry_per_atom": -0.223,
  "cell": [[5.599, 0.000, 0.000], [0.000, 5.599, 0.000], [2.799, 2.799, 4.133]],
  "species": ["Cl", "Cl", "S", "S", "Na"],
  "fractional_positions": [[0.750, 0.250, 0.500], [0.250, 0.750, 0.500], [0.388, 0.388, 0.224], [0.612, 0.612, 0.776], [0.000, 0.000, 0.000]]
}

No. 13
{
  "formula": "Na5SbS4Cl2",
  "functional": "PBE",
  "state": "relaxed",
  "space_group": "Amm2, No. 38",
  "total_energy_ry_per_atom": -0.271,
  "cell": [[6.832, 0.000, 0.000], [-3.416, 5.723, 0.000], [0.000, 0.000, 8.187]],
  "species": ["Na", "Na", "Na", "Na", "Na", "S", "S", "S", "S", "Cl", "Cl", "Sb"],
  "fractional_positions": [[0.090, 0.389, 0.750], [0.090, 0.389, 0.250], [0.701, 0.611, 0.250], [0.381, 0.000, 0.500], [0.701, 0.611, 0.750], [0.628, 0.000, 0.234], [0.628, 0.000, 0.766], [0.387, 0.334, 0.000], [0.053, 0.666, 0.000], [0.969, 0.617, 0.500], [0.352, 0.383, 0.500], [0.426, 0.000, 0.000]]
}

No. 14
{
  "formula": "NaSbSCl2",
  "functional": "PBE",
  "state": "relaxed",
  "polymorph_energy_ev_per_fu": 3.19,
  "space_group": "P4/mmm, No. 123",
  "cell": [[4.775, 0.000, 0.000], [0.000, 4.775, 0.000], [0.000, 0.000, 5.321]],
  "species": ["Cl", "Cl", "Na", "S", "Sb"],
  "fractional_positions": [[0.000, 0.500, 0.000], [0.500, 0.000, 0.000], [0.000, 0.000, 0.000], [0.000, 0.000, 0.500], [0.500, 0.500, 0.500]]
}

No. 15
{
  "formula": "NaSbSCl2",
  "functional": "PBE",
  "state": "relaxed",
  "polymorph_energy_ev_per_fu": 0.00,
  "space_group": "P4/mmm, No. 123",
  "cell": [[-3.575, 2.860, 2.890], [-3.413, -4.203, -0.062], [2.094, -1.765, 4.338]],
  "species": ["Na", "S", "Cl", "Cl", "Sb"],
  "fractional_positions": [[0.500, 0.500, 0.500], [0.000, 0.000, 0.500], [0.500, 0.000, 0.000], [0.000, 0.500, 0.000], [0.000, 0.000, 0.000]]
}

No. 16
{
  "formula": "NaScS2Cl",
  "functional": "PBE",
  "state": "relaxed",
  "polymorph_energy_ev_per_fu": 0.00,
  "space_group": "P4/mmm, No. 123",
  "cell": [[-2.193, 1.721, 4.064], [-2.750, -4.083, 0.245], [3.629, -2.269, 2.919]],
  "species": ["Na", "Sc", "S", "S", "Cl"],
  "fractional_positions": [[0.500, 0.500, 0.500], [0.000, 0.000, 0.000], [0.500, 0.000, 0.000], [0.000, 0.500, 0.000], [0.000, 0.000, 0.500]]
}

No. 17
{
  "formula": "NaScS2Cl",
  "functional": "PBE",
  "state": "relaxed",
  "polymorph_energy_ev_per_fu": 5.33,
  "space_group": "P4/mmm, No. 123",
  "cell": [[4.882, 0.000, 0.000], [0.000, 4.882, 0.000], [0.000, 0.000, 4.707]],
  "species": ["Na", "S", "S", "Cl", "Sc"],
  "fractional_positions": [[0.000, 0.000, 0.000], [0.500, 0.000, 0.000], [0.000, 0.500, 0.000], [0.000, 0.000, 0.500], [0.500, 0.500, 0.500]]
}

No. 18
{
  "formula": "NaSeSCl2",
  "functional": "PBE",
  "state": "relaxed",
  "polymorph_energy_ev_per_fu": 0.00,
  "space_group": "P4/mmm, No. 123",
  "cell": [[5.130, 0.000, 0.000], [0.000, 5.130, 0.000], [0.000, 0.000, 4.901]],
  "species": ["Cl", "Cl", "Se", "Na", "S"],
  "fractional_positions": [[0.000, 0.500, 0.000], [0.500, 0.000, 0.000], [0.000, 0.000, 0.000], [0.500, 0.500, 0.500], [0.000, 0.000, 0.500]]
}

No. 19
{
  "formula": "NaSeSCl2",
  "functional": "PBE",
  "state": "relaxed",
  "polymorph_energy_ev_per_fu": 3.75,
  "space_group": "P4/mmm, No. 123",
  "cell": [[-4.021, 2.763, -1.369], [-1.420, -3.656, -3.209], [-2.906, -2.295, 3.901]],
  "species": ["S", "Cl", "Cl", "Se", "Na"],
  "fractional_positions": [[0.000, 0.000, 0.500], [0.500, 0.000, 0.000], [0.000, 0.500, 0.000], [0.500, 0.500, 0.500], [0.000, 0.000, 0.000]]
}

No. 20
{
  "formula": "Na5SiS4Cl2",
  "functional": "PBE",
  "state": "relaxed",
  "space_group": "Amm2, No. 38",
  "total_energy_ry_per_atom": -0.283,
  "cell": [[-5.786, -2.206, 2.913], [1.807, -1.552, -5.623], [4.114, -6.627, 3.152]],
  "species": ["Na", "Na", "Na", "Na", "Na", "S", "S", "S", "S", "Cl", "Cl", "Si"],
  "fractional_positions": [[0.106, 0.409, 0.750], [0.697, 0.591, 0.250], [0.697, 0.591, 0.750], [0.419, 0.000, 0.500], [0.106, 0.409, 0.250], [0.607, 0.000, 0.791], [0.607, 0.000, 0.209], [0.354, 0.293, 0.000], [0.061, 0.707, 0.000], [0.355, 0.396, 0.500], [0.959, 0.604, 0.500], [0.438, 0.000, 0.000]]
}

No. 21
{
  "formula": "NaSiSCl2",
  "functional": "PBE",
  "state": "relaxed",
  "polymorph_energy_ev_per_fu": 4.80,
  "space_group": "P4/mmm, No. 123",
  "cell": [[-3.506, 1.707, 2.911], [-3.276, -0.710, -3.528], [-0.876, -4.851, 1.789]],
  "species": ["S", "Cl", "Cl", "Si", "Na"],
  "fractional_positions": [[0.000, 0.000, 0.500], [0.000, 0.500, 0.000], [0.500, 0.000, 0.000], [0.500, 0.500, 0.500], [0.000, 0.000, 0.000]]
}

No. 22
{
  "formula": "NaSiSCl2",
  "functional": "PBE",
  "state": "relaxed",
  "polymorph_energy_ev_per_fu": 0.00,
  "space_group": "P4/mmm, No. 123",
  "cell": [[-4.051, -2.908, -0.011], [1.511, -2.088, -4.269], [2.251, -3.145, 2.335]],
  "species": ["S", "Cl", "Cl", "Si", "Na"],
  "fractional_positions": [[0.000, 0.000, 0.500], [0.500, 0.000, 0.000], [0.000, 0.500, 0.000], [0.000, 0.000, 0.000], [0.500, 0.500, 0.500]]
}

No. 23
{
  "formula": "NaSiS2Cl",
  "functional": "PBE",
  "state": "relaxed",
  "polymorph_energy_ev_per_fu": 0.00,
  "space_group": "P4/mmm, No. 123",
  "cell": [[-2.518, 2.803, -2.461], [-0.569, -3.223, -3.088], [-4.279, -1.645, 2.505]],
  "species": ["Cl", "Si", "S", "S", "Na"],
  "fractional_positions": [[0.000, 0.000, 0.500], [0.000, 0.000, 0.000], [0.500, 0.000, 0.000], [0.000, 0.500, 0.000], [0.500, 0.500, 0.500]]
}

No. 24
{
  "formula": "NaSiS2Cl",
  "functional": "PBE",
  "state": "relaxed",
  "polymorph_energy_ev_per_fu": 6.00,
  "space_group": "P4/mmm, No. 123",
  "cell": [[-2.411, 1.826, 3.944], [-4.334, -0.670, -2.339], [-0.321, -4.487, 1.881]],
  "species": ["Na", "S", "S", "Si", "Cl"],
  "fractional_positions": [[0.000, 0.000, 0.000], [0.000, 0.500, 0.000], [0.500, 0.000, 0.000], [0.500, 0.500, 0.500], [0.000, 0.000, 0.500]]
}